## CeTaCo10 (PBE)

Data for crystalline CeTaCo10 at its relaxed geometry. Values from VASP.

Quantum ESPRESSO input file:
```
&SYSTEM
  ibrav = 0, nat = 12, ntyp = 3
/
ATOMIC_SPECIES
Ce 140.12 Ce.upf
Ta 180.95 Ta.upf
Co 58.93 Co.upf
CELL_PARAMETERS angstrom
3.994 0.000 0.000
0.000 4.753 0.000
0.000 0.000 8.250
ATOMIC_POSITIONS angstrom
Ce 0.000 0.000 0.000
Ta 0.000 2.376 4.125
Co 0.000 0.000 2.821
Co 0.000 0.000 5.429
Co 0.000 2.376 1.457
Co 0.000 2.376 6.793
Co 1.997 0.000 4.125
Co 1.997 1.242 2.183
Co 1.997 1.242 6.067
Co 1.997 2.376 0.000
Co 1.997 3.511 2.183
Co 1.997 3.511 6.067
```

Results
The total magnetic moment comes out at 11.74 μB per cell. The uncorrected energy is -7.427 eV/atom. As for the calculated formation energy: -0.024 eV per atom. For the density of states at the Fermi level, the calculation gives 16.84 states/eV/f.u.

=====

## TbCe2Co2 (PBE)

Data for crystalline TbCe2Co2 at its relaxed geometry. Values from VASP.

Quantum ESPRESSO input file:
```
&SYSTEM
  ibrav = 0, nat = 10, ntyp = 3
/
ATOMIC_SPECIES
Tb 158.93 Tb.upf
Ce 140.12 Ce.upf
Co 58.93 Co.upf
CELL_PARAMETERS angstrom
7.667 -1.823 0.000
7.667 1.823 0.000
-5.553 0.000 7.738
ATOMIC_POSITIONS angstrom
Tb 0.608 0.000 2.438
Tb 9.173 0.000 5.301
Ce -1.569 0.000 5.135
Ce 5.937 0.000 0.510
Ce 3.844 0.000 7.228
Ce 11.349 0.000 2.604
Co 3.045 0.000 0.535
Co 3.671 0.000 4.397
Co 6.110 0.000 3.342
Co 6.736 0.000 7.204
```

Results
The total magnetic moment comes out at 0.00 μB per cell. The uncorrected energy is -6.300 eV/atom. As for the calculated formation energy: -0.158 eV per atom. For the density of states at the Fermi level, the calculation gives 7.18 states/eV/f.u. The energy above the lowest structure with this stoichiometry comes out at 0.00 kJ per mole of atoms.

=====

## TbCe4Co4 (PBE)

Data for crystalline TbCe4Co4 at its relaxed geometry. Values from VASP.

Quantum ESPRESSO input file:
```
&SYSTEM
  ibrav = 0, nat = 18, ntyp = 3
/
ATOMIC_SPECIES
Tb 158.93 Tb.upf
Ce 140.12 Ce.upf
Co 58.93 Co.upf
CELL_PARAMETERS angstrom
8.245 0.000 0.000
0.000 8.245 0.000
0.000 0.000 5.707
ATOMIC_POSITIONS angstrom
Tb 2.061 2.061 1.427
Tb 6.184 6.184 4.280
Ce 0.446 5.500 1.046
Ce 1.377 7.799 3.900
Ce 2.746 4.569 3.900
Ce 3.676 6.869 1.046
Ce 4.569 1.377 4.661
Ce 5.500 3.676 1.807
Ce 6.869 0.446 1.807
Ce 7.799 2.746 4.661
Co 0.411 5.006 3.785
Co 0.883 7.834 0.932
Co 3.239 4.534 0.932
Co 3.711 7.362 3.785
Co 4.534 0.883 1.921
Co 5.006 3.711 4.775
Co 7.362 0.411 4.775
Co 7.834 3.239 1.921
```

Results
The total magnetic moment comes out at 0.00 μB per cell. The uncorrected energy is -6.465 eV/atom. As for the calculated formation energy: -0.155 eV per atom. For the density of states at the Fermi level, the calculation gives 12.11 states/eV/f.u.

=====

## TbCe12Co6 (PBE)

Data for crystalline TbCe12Co6 at its relaxed geometry. Values from VASP.

Quantum ESPRESSO input file:
```
&SYSTEM
  ibrav = 0, nat = 19, ntyp = 3
/
ATOMIC_SPECIES
Tb 158.93 Tb.upf
Ce 140.12 Ce.upf
Co 58.93 Co.upf
CELL_PARAMETERS angstrom
-4.813 4.813 4.813
4.813 -4.813 4.813
4.813 4.813 -4.813
ATOMIC_POSITIONS angstrom
Tb 0.000 0.000 0.000
Ce 4.813 -1.831 3.011
Ce 2.982 1.802 0.000
Ce 6.645 1.802 0.000
Ce 3.011 4.813 -1.831
Ce 1.802 0.000 2.982
Ce 0.000 2.982 1.802
Ce 4.813 1.831 3.011
Ce 3.011 4.813 1.831
Ce 1.802 0.000 6.645
Ce -1.831 3.011 4.813
Ce 1.831 3.011 4.813
Ce 0.000 6.645 1.802
Co 4.813 0.000 1.377
Co 4.813 3.436 0.000
Co 1.377 4.813 0.000
Co 3.436 0.000 4.813
Co 0.000 1.377 4.813
Co 0.000 4.813 3.436
```

Results
The total magnetic moment comes out at 2.31 μB per cell. The uncorrected energy is -6.343 eV/atom. As for the calculated formation energy: -0.108 eV per atom. For the density of states at the Fermi level, the calculation gives 44.18 states/eV/f.u.

=====

## Tb3CeCo3 (PBE)

Data for crystalline Tb3CeCo3 at its relaxed geometry. Values from VASP.

Quantum ESPRESSO input file:
```
&SYSTEM
  ibrav = 0, nat = 14, ntyp = 3
/
ATOMIC_SPECIES
Tb 158.93 Tb.upf
Ce 140.12 Ce.upf
Co 58.93 Co.upf
CELL_PARAMETERS angstrom
6.216 -1.853 0.000
6.216 1.853 0.000
-5.887 0.000 13.075
ATOMIC_POSITIONS angstrom
Tb -1.294 0.000 3.995
Tb -1.323 0.000 7.581
Tb -0.449 0.000 11.313
Tb 6.995 0.000 1.762
Tb 7.868 0.000 5.495
Tb 7.839 0.000 9.081
Ce 3.558 0.000 1.441
Ce 2.987 0.000 11.634
Co -4.808 0.000 12.488
Co 2.611 0.000 3.416
Co 2.616 0.000 7.449
Co 3.930 0.000 5.626
Co 3.934 0.000 9.659
Co 11.353 0.000 0.587
```

Results
The total magnetic moment comes out at 0.00 μB per cell. The uncorrected energy is -6.062 eV/atom. As for the calculated formation energy: -0.184 eV per atom. For the density of states at the Fermi level, the calculation gives 5.50 states/eV/f.u.

=====

## Tb12CeCo6 (PBE)

Data for crystalline Tb12CeCo6 at its relaxed geometry. Values from VASP.

Quantum ESPRESSO input file:
```
&SYSTEM
  ibrav = 0, nat = 19, ntyp = 3
/
ATOMIC_SPECIES
Tb 158.93 Tb.upf
Ce 140.12 Ce.upf
Co 58.93 Co.upf
CELL_PARAMETERS angstrom
-4.900 4.900 4.900
4.900 -4.900 4.900
4.900 4.900 -4.900
ATOMIC_POSITIONS angstrom
Tb 4.900 -1.874 3.003
Tb 3.026 1.897 0.000
Tb 6.774 1.897 0.000
Tb 3.003 4.900 -1.874
Tb 1.897 0.000 3.026
Tb 4.900 1.874 3.003
Tb 0.000 3.026 1.897
Tb 3.003 4.900 1.874
Tb 1.897 0.000 6.774
Tb -1.874 3.003 4.900
Tb 1.874 3.003 4.900
Tb 0.000 6.774 1.897
Ce 0.000 0.000 0.000
Co 4.900 0.000 1.112
Co 4.900 3.788 0.000
Co 1.112 4.900 0.000
Co 3.788 0.000 4.900
Co 0.000 1.112 4.900
Co 0.000 4.900 3.788
```

Results
The total magnetic moment comes out at 2.02 μB per cell. The uncorrected energy is -5.585 eV/atom. As for the calculated formation energy: -0.104 eV per atom. For the density of states at the Fermi level, the calculation gives 22.09 states/eV/f.u.

=====

## Tb5Ce2Co4 (PBE)

Data for crystalline Tb5Ce2Co4 at its relaxed geometry. Values from VASP.

Quantum ESPRESSO input file:
```
&SYSTEM
  ibrav = 0, nat = 11, ntyp = 3
/
ATOMIC_SPECIES
Tb 158.93 Tb.upf
Ce 140.12 Ce.upf
Co 58.93 Co.upf
CELL_PARAMETERS angstrom
10.758 -1.773 0.000
10.758 1.773 0.000
-1.680 0.000 6.929
ATOMIC_POSITIONS angstrom
Tb 0.000 0.000 0.000
Tb 5.605 0.000 2.538
Tb 5.913 0.000 6.230
Tb 13.922 0.000 0.699
Tb 14.231 0.000 4.391
Ce 8.820 0.000 2.341
Ce 11.015 0.000 4.588
Co 2.423 0.000 2.539
Co 8.283 0.000 4.464
Co 11.553 0.000 2.465
Co 17.412 0.000 4.390
```

Results
The total magnetic moment comes out at 0.00 μB per cell. The uncorrected energy is -5.741 eV/atom. As for the calculated formation energy: 0.026 eV per atom. For the density of states at the Fermi level, the calculation gives 14.98 states/eV/f.u.

=====

## TbCe3Co2 (PBE)

Data for crystalline TbCe3Co2 at its relaxed geometry. Values from VASP.

Quantum ESPRESSO input file:
```
&SYSTEM
  ibrav = 0, nat = 12, ntyp = 3
/
ATOMIC_SPECIES
Tb 158.93 Tb.upf
Ce 140.12 Ce.upf
Co 58.93 Co.upf
CELL_PARAMETERS angstrom
9.105 -1.856 0.000
9.105 1.856 0.000
-3.793 0.000 7.998
ATOMIC_POSITIONS angstrom
Tb 1.512 0.000 1.188
Tb 12.906 0.000 6.810
Ce -2.138 0.000 5.490
Ce 5.382 0.000 0.531
Ce 4.277 0.000 3.786
Ce 10.141 0.000 4.211
Ce 9.036 0.000 7.467
Ce 16.556 0.000 2.508
Co 1.555 0.000 5.694
Co 8.377 0.000 1.082
Co 6.041 0.000 6.916
Co 12.863 0.000 2.304
```

Results
The total magnetic moment comes out at 0.00 μB per cell. The uncorrected energy is -6.214 eV/atom. As for the calculated formation energy: -0.106 eV per atom. For the density of states at the Fermi level, the calculation gives 11.62 states/eV/f.u.

=====

## TbCe3Co (PBE)

Data for crystalline TbCe3Co at its relaxed geometry. Values from VASP.

Quantum ESPRESSO input file:
```
&SYSTEM
  ibrav = 0, nat = 10, ntyp = 3
/
ATOMIC_SPECIES
Tb 158.93 Tb.upf
Ce 140.12 Ce.upf
Co 58.93 Co.upf
CELL_PARAMETERS angstrom
5.890 0.000 0.000
0.000 7.621 0.000
-1.855 0.000 5.654
ATOMIC_POSITIONS angstrom
Tb 0.548 1.905 1.084
Tb 3.487 5.716 4.570
Ce 0.765 5.716 2.234
Ce 0.337 0.199 4.128
Ce 0.337 3.612 4.128
Ce 3.698 4.010 1.526
Ce 3.698 7.422 1.526
Ce 3.270 1.905 3.420
Co 0.605 5.716 5.393
Co 3.430 1.905 0.261
```

Results
The total magnetic moment comes out at 0.00 μB per cell. The uncorrected energy is -5.951 eV/atom. As for the calculated formation energy: -0.043 eV per atom. For the density of states at the Fermi level, the calculation gives 11.55 states/eV/f.u. The energy above the lowest structure with this stoichiometry comes out at 0.00 kJ per mole of atoms.

=====

## TbCe3Co (PBE)

Data for crystalline TbCe3Co at its relaxed geometry. Values from VASP.

Quantum ESPRESSO input file:
```
&SYSTEM
  ibrav = 0, nat = 5, ntyp = 3
/
ATOMIC_SPECIES
Tb 158.93 Tb.upf
Ce 140.12 Ce.upf
Co 58.93 Co.upf
CELL_PARAMETERS angstrom
5.237 0.000 0.000
0.000 5.237 0.000
0.000 0.000 5.237
ATOMIC_POSITIONS angstrom
Tb 0.000 0.000 0.000
Ce 0.000 2.618 2.618
Ce 2.618 0.000 2.618
Ce 2.618 2.618 0.000
Co 2.618 2.618 2.618
```

Results
The total magnetic moment comes out at 2.05 μB per cell. The uncorrected energy is -5.823 eV/atom. As for the calculated formation energy: 0.085 eV per atom. For the density of states at the Fermi level, the calculation gives 16.01 states/eV/f.u. The energy above the lowest structure with this stoichiometry comes out at 12.36 kJ per mole of atoms.

=====

Copy entry 3 word for word.
## TbCe4Co4 (PBE)

Data for crystalline TbCe4Co4 at its relaxed geometry. Values from VASP.

Quantum ESPRESSO input file:
```
&SYSTEM
  ibrav = 0, nat = 18, ntyp = 3
/
ATOMIC_SPECIES
Tb 158.93 Tb.upf
Ce 140.12 Ce.upf
Co 58.93 Co.upf
CELL_PARAMETERS angstrom
8.245 0.000 0.000
0.000 8.245 0.000
0.000 0.000 5.707
ATOMIC_POSITIONS angstrom
Tb 2.061 2.061 1.427
Tb 6.184 6.184 4.280
Ce 0.446 5.500 1.046
Ce 1.377 7.799 3.900
Ce 2.746 4.569 3.900
Ce 3.676 6.869 1.046
Ce 4.569 1.377 4.661
Ce 5.500 3.676 1.807
Ce 6.869 0.446 1.807
Ce 7.799 2.746 4.661
Co 0.411 5.006 3.785
Co 0.883 7.834 0.932
Co 3.239 4.534 0.932
Co 3.711 7.362 3.785
Co 4.534 0.883 1.921
Co 5.006 3.711 4.775
Co 7.362 0.411 4.775
Co 7.834 3.239 1.921
```

Results
The total magnetic moment comes out at 0.00 μB per cell. The uncorrected energy is -6.465 eV/atom. As for the calculated formation energy: -0.155 eV per atom. For the density of states at the Fermi level, the calculation gives 12.11 states/eV/f.u.

=====

Question: Look up the uncorrected energy of the second one.
Answer: -6.300 eV/atom